# 1
The following is a DFT calculation (GGA-PBE) of a geometry-optimized GaC2S structure.

The uncorrected formation energy is 2.436 eV/atom. As for the space group: Fm-3m (225). For the total magnetization, the calculation gives 0.00 μB/f.u. The value obtained for the calculated total energy is -15.86 eV for the cell shown. As for the excess energy over the best structure of this formula in the dataset: 1245 meV per atom.

Lattice parameters (Å, degrees): 3.987 3.987 3.987 60.00 60.00 60.00
Positions (direct):
Ga 0.000 0.000 0.000
C 0.250 0.250 0.250
C 0.750 0.750 0.750
S 0.500 0.500 0.500



# 2
The following is a DFT calculation (GGA-PBE) of a geometry-optimized Zn3SeCl structure.

The uncorrected formation energy is 0.449 eV/atom. As for the space group: Pm-3m (221). For the total magnetization, the calculation gives 0.00 μB/f.u. The value obtained for the calculated total energy is -6.91 eV for the cell shown. As for the excess energy over the best structure of this formula in the dataset: 384 meV per atom.

Lattice parameters (Å, degrees): 4.946 4.946 4.946 90.00 90.00 90.00
Positions (direct):
Zn 0.000 0.000 0.500
Zn 0.000 0.500 0.000
Zn 0.500 0.000 0.000
Se 0.500 0.500 0.500
Cl 0.000 0.000 0.000



# 3
The following is a DFT calculation (GGA-PBE) of a geometry-optimized Li2ErZn4 structure.

As for the space group: I4/mmm (139). For the total magnetization, the calculation gives 0.00 μB/f.u. The value obtained for the calculated total energy is -15.47 eV for the cell shown. Its energy relative to the elements is -0.283 eV/atom.

Lattice parameters (Å, degrees): 5.462 5.462 5.462 101.68 101.68 126.52
Positions (direct):
Li 0.250 0.750 0.500
Li 0.750 0.250 0.500
Er 0.000 0.000 0.000
Zn 0.308 0.308 0.616
Zn 0.308 0.692 0.000
Zn 0.692 0.308 0.000
Zn 0.692 0.692 0.384



# 4
The following is a DFT calculation (GGA-PBE) of a geometry-optimized LuMg2Pb structure.

As for the space group: Fm-3m (225). For the total magnetization, the calculation gives 0.00 μB/f.u. The value obtained for the calculated total energy is -11.36 eV for the cell shown. As for the excess energy over the best structure of this formula in the dataset: 253 meV per atom. Its energy relative to the elements is 0.015 eV/atom.

Lattice parameters (Å, degrees): 5.268 5.268 5.268 60.00 60.00 60.00
Positions (direct):
Lu 0.000 0.000 0.000
Mg 0.250 0.250 0.250
Mg 0.750 0.750 0.750
Pb 0.500 0.500 0.500



# 5
The following is a DFT calculation (GGA-PBE) of a geometry-optimized Nd3TmSb3 structure.

The uncorrected formation energy is -0.768 eV/atom. As for the space group: C2/m (12). For the total magnetization, the calculation gives 0.00 μB/f.u. The value obtained for the calculated total energy is -73.04 eV for the cell shown. As for the excess energy over the best structure of this formula in the dataset: 248 meV per atom.

Lattice parameters (Å, degrees): 7.805 7.805 8.267 90.52 90.52 113.43
Positions (direct):
Nd 0.164 0.836 0.000
Nd 0.223 0.777 0.500
Nd 0.403 0.403 0.166
Nd 0.597 0.597 0.834
Nd 0.777 0.223 0.500
Nd 0.836 0.164 0.000
Tm 0.260 0.260 0.579
Tm 0.740 0.740 0.421
Sb 0.063 0.063 0.279
Sb 0.148 0.496 0.795
Sb 0.496 0.148 0.795
Sb 0.504 0.852 0.205
Sb 0.852 0.504 0.205
Sb 0.937 0.937 0.721



# 6
The following is a DFT calculation (GGA-PBE) of a geometry-optimized TlWN3 structure.

The uncorrected formation energy is 0.538 eV/atom. As for the space group: Pm-3m (221). For the total magnetization, the calculation gives 0.00 μB/f.u. The value obtained for the calculated total energy is -37.60 eV for the cell shown.

Lattice parameters (Å, degrees): 4.034 4.034 4.034 90.00 90.00 90.00
Positions (direct):
Tl 0.000 0.000 0.000
W 0.500 0.500 0.500
N 0.000 0.500 0.500
N 0.500 0.000 0.500
N 0.500 0.500 0.000